Below is an optimized crystal structure of NaSr6In5, with properties calculated at the GGA-PBE level.

The structure belongs to space group Cmmm (No. 65); the cell edges are 5.761, 17.298 and 8.372 Å and the angles 90.00°, 90.00° and 90.00°. The asymmetric unit holds Na at (0.000, 0.000, 0.000), Sr at (0.000, 0.171, 0.256), Sr at (0.000, 0.500, 0.263), In at (0.000, 0.000, 0.500), In at (0.000, 0.335, 0.000) and In at (0.000, 0.335, 0.500).

The crystal system is orthorhombic. The density of states at the Fermi level is 0.69 states/eV/atom. As for the energy of formation from the pure elements: -0.37 eV/atom.